A relaxed structure of K3BeMo, computed with PBE.

Output
relative energy among the computed polymorphs = 0.000 eV/atom

Cell: 6.2837 6.2837 6.2837 Å, 90.00 90.00 90.00°
Fractional coordinates of all 5 atoms:
1 K 0.0000 0.0000 0.5000
2 K 0.0000 0.5000 0.0000
3 K 0.5000 0.0000 0.0000
4 Be 0.0000 0.0000 0.0000
5 Mo 0.5000 0.5000 0.5000



A relaxed structure of KBeMo, computed with PBE.

Output
relative energy among the computed polymorphs = 0.186 eV/atom

Cell: 2.8334 2.8334 8.0594 Å, 90.00 90.00 120.00°
Fractional coordinates of all 3 atoms:
1 K 0.3333 0.6667 0.3268
2 Be 0.0000 0.0000 0.9581
3 Mo 0.6667 0.3333 0.7151



A relaxed structure of KBe3Mo, computed with PBE.

Output
relative energy among the computed polymorphs = 1.364 eV/atom

Cell: 4.2312 4.2312 4.2312 Å, 90.00 90.00 90.00°
Fractional coordinates of all 5 atoms:
1 Be 0.0000 0.0000 0.5000
2 Be 0.0000 0.5000 0.0000
3 Be 0.5000 0.0000 0.0000
4 K 0.0000 0.0000 0.0000
5 Mo 0.5000 0.5000 0.5000



A relaxed structure of KBe2Mo, computed with PBE.

Output
relative energy among the computed polymorphs = 0.384 eV/atom

Cell: 9.8406 9.8406 9.8406 Å, 16.51 16.51 16.51°
Fractional coordinates of all 4 atoms:
1 Mo 0.7500 0.7500 0.7500
2 Be 0.0159 0.0159 0.0159
3 Be 0.4841 0.4841 0.4841
4 K 0.2500 0.2500 0.2500



A relaxed structure of KBeMo, computed with PBE.

Output
relative energy among the computed polymorphs = 0.000 eV/atom

Cell: 6.9635 6.9635 6.9635 Å, 158.15 150.05 37.38°
Fractional coordinates of all 3 atoms:
1 Be 0.0428 0.0428 0.0000
2 K 0.3414 0.3414 0.0000
3 Mo 0.6159 0.6159 0.0000



A relaxed structure of KBe2Mo, computed with PBE.

Output
relative energy among the computed polymorphs = 0.474 eV/atom

Cell: 5.8753 5.8753 5.8753 Å, 155.36 126.62 59.64°
Fractional coordinates of all 4 atoms:
1 K 0.5056 0.5056 0.0000
2 Mo 0.2007 0.7007 0.5000
3 Be 0.7987 0.2987 0.5000
4 Be 0.9949 0.9949 0.0000



A relaxed structure of KBe2Mo, computed with PBE.

Output
relative energy among the computed polymorphs = 0.418 eV/atom

Cell: 7.4308 4.9372 2.5704 Å, 89.95 69.84 131.51°
Fractional coordinates of all 4 atoms:
1 K 0.0000 0.5000 0.5000
2 Be 0.5000 0.0000 0.5000
3 Be 0.0000 0.0000 0.0000
4 Mo 0.5000 0.5000 0.0000



A relaxed structure of KBe2Mo, computed with PBE.

Output
relative energy among the computed polymorphs = 1.093 eV/atom

Cell: 4.5902 4.5902 4.5902 Å, 60.00 60.00 60.00°
Fractional coordinates of all 4 atoms:
1 Mo 0.7500 0.7500 0.7500
2 Be 0.0000 0.0000 0.0000
3 Be 0.2500 0.2500 0.2500
4 K 0.5000 0.5000 0.5000



A relaxed structure of KBe2Mo, computed with PBE.

Output
relative energy among the computed polymorphs = 0.199 eV/atom

Cell: 4.4562 4.4562 6.9389 Å, 84.06 84.06 33.91°
Fractional coordinates of all 4 atoms:
1 K 0.7500 0.7500 0.7500
2 Be 0.5081 0.5081 0.3750
3 Be 0.9919 0.9919 0.1250
4 Mo 0.2500 0.2500 0.2500



A relaxed structure of KBe2Mo, computed with PBE.

Output
relative energy among the computed polymorphs = 0.180 eV/atom

Cell: 2.7737 2.7737 8.3349 Å, 90.00 90.00 90.00°
Fractional coordinates of all 4 atoms:
1 K 0.0000 0.0000 0.4740
2 Mo 0.5000 0.5000 0.8428
3 Be 0.5000 0.5000 0.1477
4 Be 0.0000 0.0000 0.0355



A relaxed structure of KBe2Mo, computed with PBE.

Output
relative energy among the computed polymorphs = 0.798 eV/atom

Cell: 6.1985 6.1985 6.1985 Å, 155.80 121.81 63.94°
Fractional coordinates of all 4 atoms:
1 Be 0.0545 0.0545 0.0000
2 Be 0.4455 0.4455 0.0000
3 Mo 0.2500 0.7500 0.5000
4 K 0.7500 0.2500 0.5000



A relaxed structure of KBe3Mo, computed with PBE.

Output
relative energy among the computed polymorphs = 0.000 eV/atom

Cell: 4.6304 4.6304 4.6304 Å, 90.00 90.00 90.00°
Fractional coordinates of all 5 atoms:
1 Be 0.0000 0.0000 0.5000
2 Be 0.0000 0.5000 0.0000
3 Be 0.5000 0.0000 0.0000
4 Mo 0.0000 0.0000 0.0000
5 K 0.5000 0.5000 0.5000



A relaxed structure of KBeMo, computed with PBE.

Output
relative energy among the computed polymorphs = 1.649 eV/atom

Cell: 5.2056 5.2056 5.2056 Å, 60.00 60.00 60.00°
Fractional coordinates of all 3 atoms:
1 Mo 0.0000 0.0000 0.0000
2 K 0.7500 0.7500 0.7500
3 Be 0.5000 0.5000 0.5000



A relaxed structure of KBe2Mo, computed with PBE.

Output
relative energy among the computed polymorphs = 0.985 eV/atom

Cell: 5.2481 5.2481 5.2481 Å, 137.69 137.69 61.38°
Fractional coordinates of all 4 atoms:
1 Mo 0.7500 0.2500 0.5000
2 K 0.5000 0.5000 0.0000
3 Be 0.0000 0.0000 0.0000
4 Be 0.2500 0.7500 0.5000



A relaxed structure of KBeMo, computed with PBE.

Output
relative energy among the computed polymorphs = 0.059 eV/atom

Cell: 7.5232 7.5235 2.7923 Å, 79.30 79.31 21.39°
Fractional coordinates of all 3 atoms:
1 Mo 0.6313 0.6313 0.3687
2 Be 0.0288 0.0288 0.9712
3 K 0.3398 0.3398 0.6602



A relaxed structure of KBeMo, computed with PBE.

Output
relative energy among the computed polymorphs = 1.014 eV/atom

Cell: 4.6969 4.6969 4.6969 Å, 60.00 60.00 60.00°
Fractional coordinates of all 3 atoms:
1 Be 0.7500 0.7500 0.7500
2 K 0.0000 0.0000 0.0000
3 Mo 0.5000 0.5000 0.5000



A relaxed structure of KBe2Mo, computed with PBE.

Output
relative energy among the computed polymorphs = 0.897 eV/atom

Cell: 7.0829 7.0829 6.0586 Å, 54.23 54.23 90.00°
Fractional coordinates of all 8 atoms:
1 Mo 0.0000 0.0000 0.0000
2 Mo 0.7500 0.2500 0.5000
3 Be 0.3750 0.2903 0.7500
4 Be 0.7097 0.1250 0.2500
5 Be 0.0403 0.6250 0.2500
6 Be 0.8750 0.9597 0.7500
7 K 0.5000 0.5000 0.0000
8 K 0.2500 0.7500 0.5000



A relaxed structure of KBe2Mo, computed with PBE.

Output
relative energy among the computed polymorphs = 0.000 eV/atom

Cell: 3.4224 2.8703 7.7688 Å, 68.08 90.00 90.00°
Fractional coordinates of all 4 atoms:
1 Be 0.0000 0.3978 0.6044
2 Be 0.0000 0.1022 0.8956
3 Mo 0.5000 0.7500 0.7500
4 K 0.5000 0.2500 0.2500



A relaxed structure of KBe2Mo, computed with PBE.

Output
relative energy among the computed polymorphs = 0.248 eV/atom

Cell: 3.9958 2.6101 7.5304 Å, 89.29 90.00 90.00°
Fractional coordinates of all 4 atoms:
1 Mo 0.5000 0.6325 0.8848
2 K 0.0000 0.6160 0.4957
3 Be 0.0000 0.1292 0.9723
4 Be 0.5000 0.1224 0.1471



A relaxed structure of K2BeNbMo, computed with PBE.

Output
DFT total energy = -3.086 eV per atom

Cell: 4.9850 5.2428 4.9850 Å, 90.00 90.00 90.00°
Fractional coordinates of all 5 atoms:
1 K 0.0000 0.0000 0.5000
2 K 0.5000 0.0000 0.0000
3 Be 0.0000 0.0000 0.0000
4 Nb 0.0000 0.5000 0.0000
5 Mo 0.5000 0.5000 0.5000